No. 1
Material: AlIn
Method: DFT, PBE-GGA
State: optimized geometry

## Properties
Energy of formation from the pure elements ... 13 kJ per mole of atoms

Unit cell a=5.601 b=5.601 c=3.012 alpha=96.94 beta=96.94 gamma=106.78
Positions (direct):
Al 0.181 0.181 0.328
Al 0.819 0.819 0.672
In 0.306 0.694 0.000
In 0.694 0.306 0.000

No. 2
Material: ZrFePb2
Method: DFT, PBE-GGA
State: optimized geometry

## Properties
ΔE to the lowest computed polymorph ... 123 meV/atom
Energy of formation from the pure elements ... 23 kJ per mole of atoms

Unit cell a=5.927 b=5.927 c=5.183 alpha=111.51 beta=111.51 gamma=32.55
Positions (direct):
Zr 0.000 0.000 0.000
Fe 0.698 0.698 0.296
Pb 0.231 0.231 0.816
Pb 0.451 0.451 0.460

No. 3
Material: SiIr2AuSe
Method: DFT, PBE-GGA
State: optimized geometry

## Properties
E ... -5.083 eV per atom

Unit cell a=4.487 b=4.487 c=4.708 alpha=90.00 beta=90.00 gamma=90.00
Positions (direct):
Si 0.000 0.000 0.000
Ir 0.000 0.500 0.000
Ir 0.500 0.000 0.000
Au 0.500 0.500 0.500
Se 0.000 0.000 0.500

No. 4
Material: Ba2SbO2
Method: DFT, PBE-GGA
State: optimized geometry

## Properties
ΔE to the lowest computed polymorph ... 0 meV/atom

Unit cell a=8.400 b=8.400 c=8.400 alpha=149.36 beta=149.36 gamma=43.87
Positions (direct):
Ba 0.169 0.169 0.000
Ba 0.831 0.831 0.000
Sb 0.500 0.500 0.000
O 0.250 0.750 0.500
O 0.750 0.250 0.500

No. 5
Material: HfV2Pt6
Method: DFT, PBE-GGA
State: optimized geometry

## Properties
Energy of formation from the pure elements ... -44 kJ per mole of atoms

Unit cell a=3.804 b=6.755 c=6.755 alpha=121.00 beta=90.00 gamma=90.00
Positions (direct):
Hf 0.000 0.000 0.000
V 0.500 0.523 0.798
V 0.500 0.798 0.523
Pt 0.000 0.148 0.525
Pt 0.000 0.525 0.148
Pt 0.000 0.599 0.599
Pt 0.500 0.192 0.856
Pt 0.500 0.311 0.311
Pt 0.500 0.856 0.192

No. 6
Material: CaCoHg
Method: DFT, PBE-GGA
State: optimized geometry

## Properties
Energy of formation from the pure elements ... -8 kJ per mole of atoms

Unit cell a=5.821 b=5.821 c=5.873 alpha=95.22 beta=95.22 gamma=41.41
Positions (direct):
Ca 0.000 0.000 0.000
Ca 0.600 0.600 0.494
Co 0.262 0.262 0.239
Co 0.721 0.721 0.069
Hg 0.274 0.274 0.783
Hg 0.885 0.885 0.469

No. 7
Material: CaTlAg2Cl8
Method: DFT, PBE-GGA
State: optimized geometry

## Properties
E ... -3.036 eV per atom

Unit cell a=6.423 b=7.885 c=6.727 alpha=90.00 beta=96.11 gamma=90.00
Positions (direct):
Ca 0.000 0.000 0.000
Tl 0.000 0.500 0.000
Ag 0.500 0.250 0.500
Ag 0.500 0.750 0.500
Cl 0.212 0.262 0.843
Cl 0.212 0.738 0.843
Cl 0.287 0.000 0.341
Cl 0.288 0.500 0.339
Cl 0.712 0.500 0.661
Cl 0.713 0.000 0.659
Cl 0.788 0.262 0.157
Cl 0.788 0.738 0.157

No. 8
Material: KSrAl2Cl8
Method: DFT, PBE-GGA
State: optimized geometry

## Properties
E ... -3.714 eV per atom

Unit cell a=10.478 b=10.478 c=10.478 alpha=37.74 beta=37.74 gamma=37.74
Positions (direct):
K 0.000 0.000 0.000
Sr 0.500 0.500 0.500
Al 0.252 0.252 0.252
Al 0.748 0.748 0.748
Cl 0.079 0.449 0.790
Cl 0.210 0.921 0.551
Cl 0.326 0.326 0.326
Cl 0.449 0.790 0.079
Cl 0.551 0.210 0.921
Cl 0.674 0.674 0.674
Cl 0.790 0.079 0.449
Cl 0.921 0.551 0.210

No. 9
Material: AcNdIn2Se4
Method: DFT, PBE-GGA
State: optimized geometry

## Properties
E ... -4.845 eV per atom

Unit cell a=7.666 b=4.421 c=8.108 alpha=90.00 beta=108.30 gamma=90.00
Positions (direct):
Ac 0.000 0.000 0.000
Nd 0.500 0.500 0.000
In 0.000 0.500 0.500
In 0.500 0.000 0.500
Se 0.251 0.500 0.220
Se 0.272 0.000 0.784
Se 0.728 0.000 0.216
Se 0.749 0.500 0.780

No. 10
Material: LiPmSbAu
Method: DFT, PBE-GGA
State: optimized geometry

## Properties
E ... -4.258 eV per atom

Unit cell a=5.129 b=5.129 c=5.129 alpha=60.00 beta=60.00 gamma=60.00
Positions (direct):
Li 0.000 0.000 0.000
Pm 0.500 0.500 0.500
Sb 0.250 0.250 0.250
Au 0.750 0.750 0.750

No. 11
Material: Cd4AuS2
Method: DFT, PBE-GGA
State: optimized geometry

## Properties
E ... -2.157 eV per atom

Unit cell a=7.660 b=7.660 c=7.660 alpha=139.23 beta=139.23 gamma=59.03
Positions (direct):
Cd 0.000 0.500 0.500
Cd 0.199 0.199 0.000
Cd 0.500 0.000 0.500
Cd 0.801 0.801 0.000
Au 0.000 0.000 0.000
S 0.383 0.383 0.000
S 0.617 0.617 0.000

No. 12
Material: Rb2InGeI6
Method: DFT, PBE-GGA
State: optimized geometry

## Properties
ΔE to the lowest computed polymorph ... 12 meV/atom

Unit cell a=8.542 b=8.542 c=8.542 alpha=119.85 beta=119.85 gamma=90.26
Positions (direct):
Rb 0.250 0.750 0.500
Rb 0.750 0.250 0.500
In 0.000 0.000 0.000
Ge 0.500 0.500 0.000
I 0.254 0.254 0.000
I 0.254 0.254 0.509
I 0.254 0.746 0.000
I 0.746 0.254 0.000
I 0.746 0.746 0.000
I 0.746 0.746 0.491

Please write out number 10 again, unchanged.
Material: LiPmSbAu
Method: DFT, PBE-GGA
State: optimized geometry

## Properties
E ... -4.258 eV per atom

Unit cell a=5.129 b=5.129 c=5.129 alpha=60.00 beta=60.00 gamma=60.00
Positions (direct):
Li 0.000 0.000 0.000
Pm 0.500 0.500 0.500
Sb 0.250 0.250 0.250
Au 0.750 0.750 0.750